Record 1
The following is a PBE-GGA calculation of a geometry-optimized MnAs2Au structure, from the Alexandria database.

Geometry as POSCAR:
```
MnAs2Au
1.0
3.0492 0.0000 0.0000
0.0000 4.4353 0.0000
0.0000 0.0000 11.2017
Mn As Au
2 4 2
direct
0.0000 0.0000 0.0000 Mn
0.5000 0.5000 0.5000 Mn
0.0000 0.5000 0.3275 As
0.0000 0.5000 0.6725 As
0.5000 0.0000 0.1725 As
0.5000 0.0000 0.8275 As
0.0000 0.0000 0.5000 Au
0.5000 0.5000 0.0000 Au
```

Calculated values
**Energy relative to the elements**: 0.13 eV per atom
**Density of states at the Fermi level**: 4.75 states/eV per cell
**Raw total energy**: -5.305 eV/atom
**SG**: Immm (71)
**Offset from the most stable computed form**: 0.35 eV per formula unit
**Volume**: 151 Å³ per cell

Record 2
The following is a PBE-GGA calculation of a geometry-optimized Mn2AsAu structure, from the Alexandria database.

Geometry as POSCAR:
```
Mn2AsAu
1.0
5.8471 0.0000 0.0000
0.0000 3.3863 0.0000
-1.9620 0.0000 6.9662
Mn As Au
4 2 2
direct
0.2436 0.0000 0.2309 Mn
0.2564 0.5000 0.7691 Mn
0.7436 0.5000 0.2309 Mn
0.7564 0.0000 0.7691 Mn
0.0000 0.5000 0.0000 As
0.5000 0.0000 0.0000 As
0.0000 0.0000 0.5000 Au
0.5000 0.5000 0.5000 Au
```

Calculated values
**Energy relative to the elements**: 0.07 eV per atom
**Density of states at the Fermi level**: 3.91 states/eV per cell
**Raw total energy**: -6.494 eV/atom
**SG**: C2/m (12)
**Volume**: 138 Å³ per cell

Record 3
The following is a PBE-GGA calculation of a geometry-optimized MnAs2Au structure, from the Alexandria database.

Geometry as POSCAR:
```
MnAs2Au
1.0
2.8989 0.0000 0.0000
0.0000 3.9297 0.0000
0.0000 0.0000 12.6772
Mn As Au
2 4 2
direct
0.0000 0.0000 0.0000 Mn
0.5000 0.5000 0.5000 Mn
0.0000 0.0000 0.4507 As
0.0000 0.5000 0.6694 As
0.5000 0.0000 0.1694 As
0.5000 0.5000 0.9507 As
0.0000 0.5000 0.2885 Au
0.5000 0.0000 0.7885 Au
```

Calculated values
**Energy relative to the elements**: 0.09 eV per atom
**Density of states at the Fermi level**: 4.50 states/eV per cell
**Raw total energy**: -5.349 eV/atom
**SG**: Imm2 (44)
**Offset from the most stable computed form**: 0.17 eV per formula unit
**Volume**: 144 Å³ per cell

Record 4
The following is a PBE-GGA calculation of a geometry-optimized MnAs2Au structure, from the Alexandria database.

Geometry as POSCAR:
```
MnAs2Au
1.0
7.4969 0.0000 0.0000
0.0000 3.3087 0.0000
-1.0366 0.0000 5.9237
Mn As Au
2 4 2
direct
0.0000 0.0000 0.0000 Mn
0.5000 0.5000 0.0000 Mn
0.2174 0.5000 0.2071 As
0.2826 0.0000 0.7929 As
0.7174 0.0000 0.2071 As
0.7826 0.5000 0.7929 As
0.0000 0.5000 0.5000 Au
0.5000 0.0000 0.5000 Au
```

Calculated values
**Energy relative to the elements**: 0.11 eV per atom
**Density of states at the Fermi level**: 4.72 states/eV per cell
**Raw total energy**: -5.323 eV/atom
**SG**: C2/m (12)
**Offset from the most stable computed form**: 0.27 eV per formula unit
**Volume**: 147 Å³ per cell

Record 5
The following is a PBE-GGA calculation of a geometry-optimized Mn2AsAu structure, from the Alexandria database.

Geometry as POSCAR:
```
Mn2AsAu
1.0
2.9396 0.0000 0.0000
-1.4698 2.5458 0.0000
0.0000 0.0000 25.8198
Mn As Au
6 3 3
direct
0.0000 0.0000 0.0000 Mn
0.0000 0.0000 0.2625 Mn
0.3333 0.6667 0.6667 Mn
0.3333 0.6667 0.9292 Mn
0.6667 0.3333 0.3333 Mn
0.6667 0.3333 0.5958 Mn
0.0000 0.0000 0.7415 As
0.3333 0.6667 0.4081 As
0.6667 0.3333 0.0748 As
0.0000 0.0000 0.5121 Au
0.3333 0.6667 0.1787 Au
0.6667 0.3333 0.8454 Au
```

Calculated values
**Energy relative to the elements**: 0.19 eV per atom
**Density of states at the Fermi level**: 9.71 states/eV per cell
**Raw total energy**: -6.380 eV/atom
**SG**: R3m (160)
**Volume**: 193 Å³ per cell

Record 6
The following is a PBE-GGA calculation of a geometry-optimized MnAs2Au structure, from the Alexandria database.

Geometry as POSCAR:
```
MnAs2Au
1.0
4.1987 0.0000 0.0000
0.0000 4.1987 0.0000
0.0000 0.0000 7.9863
Mn As Au
2 4 2
direct
0.0000 0.0000 0.0000 Mn
0.5000 0.5000 0.5000 Mn
0.0000 0.5000 0.2500 As
0.0000 0.5000 0.7500 As
0.5000 0.0000 0.2500 As
0.5000 0.0000 0.7500 As
0.0000 0.0000 0.5000 Au
0.5000 0.5000 0.0000 Au
```

Calculated values
**Energy relative to the elements**: 0.22 eV per atom
**Density of states at the Fermi level**: 3.46 states/eV per cell
**Raw total energy**: -5.212 eV/atom
**SG**: I4/mmm (139)
**Offset from the most stable computed form**: 0.72 eV per formula unit
**Volume**: 141 Å³ per cell

Record 7
The following is a PBE-GGA calculation of a geometry-optimized MnAs2Au structure, from the Alexandria database.

Geometry as POSCAR:
```
MnAs2Au
1.0
4.4658 0.0000 0.0000
0.0000 4.4658 0.0000
0.0000 0.0000 3.4948
Mn As Au
1 2 1
direct
0.0000 0.0000 0.0000 Mn
0.0000 0.5000 0.5000 As
0.5000 0.0000 0.5000 As
0.5000 0.5000 0.0000 Au
```

Calculated values
**Energy relative to the elements**: 0.15 eV per atom
**Density of states at the Fermi level**: 1.67 states/eV per cell
**Raw total energy**: -5.288 eV/atom
**SG**: P4/mmm (123)
**Offset from the most stable computed form**: 0.41 eV per formula unit
**Volume**: 70 Å³ per cell

Record 8
The following is a PBE-GGA calculation of a geometry-optimized MnAs2Au structure, from the Alexandria database.

Geometry as POSCAR:
```
MnAs2Au
1.0
6.6274 0.0000 0.0000
0.0000 6.6274 0.0000
0.0000 0.0000 6.6274
Mn As Au
4 8 4
direct
0.0000 0.0000 0.0000 Mn
0.0000 0.5000 0.5000 Mn
0.5000 0.0000 0.5000 Mn
0.5000 0.5000 0.0000 Mn
0.0000 0.0000 0.5000 As
0.0000 0.5000 0.0000 As
0.2500 0.2500 0.2500 As
0.2500 0.7500 0.7500 As
0.5000 0.0000 0.0000 As
0.5000 0.5000 0.5000 As
0.7500 0.2500 0.7500 As
0.7500 0.7500 0.2500 As
0.2500 0.2500 0.7500 Au
0.2500 0.7500 0.2500 Au
0.7500 0.2500 0.2500 Au
0.7500 0.7500 0.7500 Au
```

Calculated values
**Energy relative to the elements**: 0.31 eV per atom
**Density of states at the Fermi level**: 11.31 states/eV per cell
**Raw total energy**: -5.124 eV/atom
**SG**: F-43m (216)
**Offset from the most stable computed form**: 1.07 eV per formula unit
**Volume**: 291 Å³ per cell